# 1
Entry from Alexandria via LeMat-Bulk: a relaxed structure of Rb2TlHRu (PBE).

## Properties
**Total energy**: -2.714 eV per atom

Cell lengths 6.7477, 3.4682, 6.7477 Å; angles 90.00, 90.00, 90.00 degrees
With the nearest neighbours (Å) after each atom.
Atoms (fractional coordinates):
Rb: 0.0000 0.0000 0.5000  2 Ru 3.37, 2 Rb 3.47
H: 0.0000 0.5000 0.0000  2 Ru 1.73
Ru: 0.0000 0.0000 0.0000  2 H 1.73
Tl: 0.5000 0.5000 0.5000  2 Tl 3.47, 8 Rb 3.79
Rb: 0.5000 0.0000 0.0000  2 Ru 3.37, 2 Rb 3.47

---

# 2
Entry from Alexandria via LeMat-Bulk: a relaxed structure of RbTl2HRu (PBE).

## Properties
**Total energy**: -2.093 eV per atom

Cell lengths 5.9607, 3.8638, 5.9607 Å; angles 90.00, 90.00, 90.00 degrees
With the nearest neighbours (Å) after each atom.
Atoms (fractional coordinates):
Tl: 0.5000 0.0000 0.0000  2 Rb 2.98
Tl: 0.0000 0.0000 0.5000  2 Rb 2.98
H: 0.0000 0.5000 0.0000  2 Rb 1.93
Ru: 0.5000 0.5000 0.5000  8 Tl 3.55, 2 Ru 3.86
Rb: 0.0000 0.0000 0.0000  2 H 1.93

---

# 3
Entry from Alexandria via LeMat-Bulk: a relaxed structure of Rb2TlH6Ru (PBE).

## Properties
**Total energy**: -3.409 eV per atom

Cell lengths 5.4086, 6.1285, 6.1285 Å; angles 120.00, 90.00, 90.00 degrees
With the nearest neighbours (Å) after each atom.
Atoms (fractional coordinates):
H: 0.8603 0.1470 0.8530  1 Ru 1.73
Ru: 0.0000 0.0000 0.0000  6 H 1.73
Rb: 0.7771 0.6667 0.3333  9 H 2.79-3.10
H: 0.8603 0.1470 0.2940  1 Ru 1.73
H: 0.1397 0.2940 0.1470  1 Ru 1.73
H: 0.8603 0.7060 0.8530  1 Ru 1.73
H: 0.1397 0.8530 0.1470  1 Ru 1.73
Rb: 0.2229 0.3333 0.6667  9 H 2.79-3.10
Tl: 0.5000 0.0000 0.0000  6 H 2.50, 2 Ru 2.70
H: 0.1397 0.8530 0.7060  1 Ru 1.73

---

# 4
Entry from Alexandria via LeMat-Bulk: a relaxed structure of Rb7H12S (PBE).

## Properties
**Total energy**: -2.479 eV per atom

Cell lengths 7.7226, 7.7228, 7.7230 Å; angles 99.44, 99.44, 99.45 degrees
With the nearest neighbours (Å) after each atom.
Atoms (fractional coordinates):
Rb: 0.7880 0.5820 0.0820  6 H 2.82-3.13
H: 0.5848 0.2795 0.1667  5 Rb 2.83-3.13
H: 0.1901 0.0648 0.9780  1 S 1.52
H: 0.4152 0.7205 0.8332  5 Rb 2.83-3.13
H: 0.1667 0.5848 0.2795  5 Rb 2.83-3.13
H: 0.0219 0.8099 0.9352  1 S 1.52
S: 0.0000 0.0000 0.0000  6 H 1.52
Rb: 0.0820 0.7880 0.5820  6 H 2.82-3.13
H: 0.0648 0.9781 0.1901  1 S 1.52
Rb: 0.5820 0.0820 0.7880  6 H 2.82-3.13
H: 0.9352 0.0219 0.8099  1 S 1.52
H: 0.2795 0.1667 0.5848  5 Rb 2.83-3.13
Rb: 0.2120 0.4180 0.9180  6 H 2.82-3.13
H: 0.9781 0.1901 0.0648  1 S 1.52
H: 0.8332 0.4152 0.7205  5 Rb 2.83-3.13
Rb: 0.5000 0.5000 0.5000  6 H 3.07
H: 0.7205 0.8333 0.4152  5 Rb 2.83-3.13
Rb: 0.9179 0.2120 0.4180  6 H 2.82-3.13
Rb: 0.4180 0.9180 0.2120  6 H 2.82-3.13
H: 0.8099 0.9352 0.0219  1 S 1.52

---

# 5
Entry from Alexandria via LeMat-Bulk: a relaxed structure of Rb3HS (PBE).

## Properties
**Relative energy among the computed polymorphs**: 46 meV/atom

Cell lengths 5.3834, 5.3834, 5.3834 Å; angles 90.00, 90.00, 90.00 degrees
With the nearest neighbours (Å) after each atom.
Atoms (fractional coordinates):
Rb: 0.0000 0.0000 0.5000  2 H 2.69
H: 0.0000 0.0000 0.0000  6 Rb 2.69
Rb: 0.5000 0.0000 0.0000  2 H 2.69
S: 0.5000 0.5000 0.5000  12 Rb 3.81
Rb: 0.0000 0.5000 0.0000  2 H 2.69

---

# 6
Entry from Alexandria via LeMat-Bulk: a relaxed structure of RbHS (PBE).

## Properties
**Total energy**: -3.572 eV per atom

Cell lengths 4.7966, 4.7966, 5.1853 Å; angles 117.55, 117.55, 90.00 degrees
With the nearest neighbours (Å) after each atom.
Atoms (fractional coordinates):
H: 0.3593 0.3593 0.7187  1 S 1.35
S: 0.5313 0.5313 0.0626  1 H 1.35
Rb: 0.9594 0.9594 0.9187  5 H 3.14-3.48, 5 S 3.36-3.44

---

# 7
Entry from Alexandria via LeMat-Bulk: a relaxed structure of Rb3H4S (PBE).

## Properties
**Total energy**: -2.875 eV per atom

Cell lengths 4.3535, 5.5513, 10.1189 Å; angles 106.06, 102.42, 90.00 degrees
With the nearest neighbours (Å) after each atom.
Atoms (fractional coordinates):
H: 0.3815 0.3070 0.7629  1 H 0.78
Rb: 0.1388 0.1457 0.2776  4 H 3.01-3.26
Rb: 0.0000 0.5000 0.0000  8 H 2.91-3.15
H: 0.4111 0.2388 0.8222  1 H 0.78
S: 0.5000 0.0000 0.0000  2 H 2.48
H: 0.5889 0.7612 0.1778  1 H 0.78
Rb: 0.8612 0.8543 0.7224  4 H 3.01-3.26
H: 0.6185 0.6930 0.2371  1 H 0.78

---

# 8
Entry from Alexandria via LeMat-Bulk: a relaxed structure of Rb2HS2 (PBE).

## Properties
**Total energy**: -3.279 eV per atom

Cell lengths 4.7171, 8.0754, 9.2510 Å; angles 90.00, 104.77, 90.00 degrees
With the nearest neighbours (Å) after each atom.
Atoms (fractional coordinates):
S: 0.1513 0.0389 0.3027  5 Rb 3.37-3.43, 2 H 3.39
S: 0.4130 0.0932 0.8260  1 H 1.35
Rb: 0.7765 0.1517 0.5529  2 H 3.29, 5 S 3.38-3.43
Rb: 0.2235 0.6517 0.4471  2 H 3.29, 5 S 3.38-3.43
H: 0.3959 0.2564 0.7917  1 S 1.35
Rb: 0.0146 0.3253 0.0291  2 H 3.22, 6 S 3.37-3.52
S: 0.8487 0.5389 0.6973  5 Rb 3.37-3.43, 2 H 3.39
S: 0.5870 0.5932 0.1740  1 H 1.35
Rb: 0.9854 0.8253 0.9709  2 H 3.22, 6 S 3.37-3.52
H: 0.6041 0.7564 0.2083  1 S 1.35

---

# 9
Entry from Alexandria via LeMat-Bulk: a relaxed structure of RbHS2 (PBE).

## Properties
**Relative energy among the computed polymorphs**: 293 meV/atom

Cell lengths 6.2100, 6.2100, 6.2100 Å; angles 39.88, 39.88, 39.88 degrees
With the nearest neighbours (Å) after each atom.
Atoms (fractional coordinates):
S: 0.1793 0.1793 0.1793  3 H 2.45, 3 S 2.48
S: 0.8207 0.8207 0.8207  3 H 2.45, 3 S 2.48
Rb: 0.0000 0.0000 0.0000  2 S 3.07
H: 0.5000 0.5000 0.5000  6 S 2.45

---

# 10
Entry from Alexandria via LeMat-Bulk: a relaxed structure of Rb3HS (PBE).

## Properties
**Relative energy among the computed polymorphs**: 0 meV/atom

Cell lengths 5.6118, 8.9946, 13.2701 Å; angles 42.86, 84.19, 60.48 degrees
With the nearest neighbours (Å) after each atom.
Atoms (fractional coordinates):
Rb: 0.4888 0.6694 0.9986  1 H 2.81
S: 0.9906 0.4084 0.6949  7 Rb 3.22-3.60
Rb: 0.1993 0.0914 0.0604  1 H 2.81
Rb: 0.0285 0.5485 0.3774  1 H 2.82
H: 0.6887 0.1294 0.1188  3 Rb 2.81-3.01
S: 0.6976 0.3522 0.3642  7 Rb 3.22-3.60
Rb: 0.4481 0.1013 0.3416  2 H 3.01-3.33, 1 S 3.37
H: 0.9996 0.6313 0.9403  3 Rb 2.81-3.01
Rb: 0.2402 0.6593 0.7175  2 H 3.01-3.33, 1 S 3.37
Rb: 0.6597 0.2122 0.6818  1 H 2.82

---

# 11
Entry from Alexandria via LeMat-Bulk: a relaxed structure of RbH4S2 (PBE).

## Properties
**Total energy**: -2.768 eV per atom

Cell lengths 4.6187, 4.6187, 7.4058 Å; angles 71.83, 71.83, 90.00 degrees
With the nearest neighbours (Å) after each atom.
Atoms (fractional coordinates):
S: 0.3930 0.3930 0.2140  1 H 1.36
Rb: 0.0000 0.0000 0.0000  4 H 2.31
H: 0.0000 0.5000 0.0000  2 Rb 2.31
H: 0.7092 0.7092 0.5815  1 S 1.36
S: 0.6070 0.6070 0.7860  1 H 1.36
H: 0.5000 0.0000 0.0000  2 Rb 2.31
H: 0.2908 0.2908 0.4185  1 S 1.36

---

# 12
Entry from Alexandria via LeMat-Bulk: a relaxed structure of RbHS2 (PBE).

## Properties
**Relative energy among the computed polymorphs**: 977 meV/atom

Cell lengths 5.3836, 5.3836, 5.3836 Å; angles 60.00, 60.00, 60.00 degrees
With the nearest neighbours (Å) after each atom.
Atoms (fractional coordinates):
S: 0.7500 0.7500 0.7500  4 Rb 3.30, 4 H 3.30
Rb: 0.5000 0.5000 0.5000  8 S 3.30
S: 0.2500 0.2500 0.2500  4 H 3.30, 4 Rb 3.30
H: 0.0000 0.0000 0.0000  8 S 3.30

---

# 13
Entry from Alexandria via LeMat-Bulk: a relaxed structure of Rb7H5S (PBE).

## Properties
**Total energy**: -2.471 eV per atom

Cell lengths 4.4291, 7.4186, 24.9806 Å; angles 90.00, 90.00, 107.37 degrees
With the nearest neighbours (Å) after each atom.
Atoms (fractional coordinates):
H: 0.7255 0.4510 0.5710  6 Rb 2.85-3.11
H: 0.0004 0.0008 0.0000  6 Rb 3.04-3.08
Rb: 0.6343 0.2686 0.0344  6 H 2.94-3.11
S: 0.7977 0.5955 0.2499  6 Rb 3.17-3.31
Rb: 0.4584 0.9168 0.2501  2 H 2.93-2.94, 2 S 3.17
H: 0.7261 0.4522 0.9288  6 Rb 2.85-3.11
Rb: 0.3661 0.7322 0.5346  6 H 2.94-3.11
H: 0.4593 0.9185 0.6423  6 Rb 2.93-3.13
H: 0.5413 0.0826 0.3578  6 Rb 2.94-3.13
Rb: 0.1875 0.3750 0.3260  3 H 2.85-3.13
Rb: 0.5424 0.0848 0.7500  2 H 2.93, 2 S 3.17
Rb: 0.3665 0.7331 0.9655  6 H 2.94-3.11
Rb: 0.6341 0.2681 0.4656  6 H 2.94-3.12
Rb: 0.9069 0.8139 0.3888  5 H 3.02-3.07
H: 0.0000 0.0000 0.5000  6 Rb 3.04-3.08
Rb: 0.0934 0.1869 0.6114  5 H 3.02-3.08
Rb: 0.8135 0.6270 0.8259  3 H 2.85-3.13
H: 0.2748 0.5495 0.0710  6 Rb 2.86-3.11
H: 0.4596 0.9193 0.8575  6 Rb 2.93-3.13
S: 0.2029 0.4059 0.7500  6 Rb 3.17-3.31
Rb: 0.9067 0.8134 0.1114  5 H 3.02-3.08
Rb: 0.8131 0.6262 0.6740  3 H 2.85-3.13
H: 0.2748 0.5495 0.4290  6 Rb 2.85-3.12
H: 0.5411 0.0822 0.1424  6 Rb 2.93-3.13
Rb: 0.0939 0.1878 0.8885  5 H 3.02-3.08
Rb: 0.1871 0.3743 0.1740  3 H 2.86-3.13

---

# 14
Entry from Alexandria via LeMat-Bulk: a relaxed structure of RbH2S5 (PBE).

## Properties
**Total energy**: -3.734 eV per atom

Cell lengths 6.6618, 12.4873, 11.5705 Å; angles 83.64, 75.40, 27.49 degrees
With the nearest neighbours (Å) after each atom.
Atoms (fractional coordinates):
H: 0.0123 0.7035 0.4001  1 S 1.38
Rb: 0.1112 0.9980 0.7205  1 H 3.24, 7 S 3.40-3.60
S: 0.0374 0.2914 0.0509  1 H 1.41
S: 0.1256 0.1130 0.4243  1 S 2.03
Rb: 0.8888 0.0020 0.2795  1 H 3.24, 7 S 3.40-3.60
H: 0.9877 0.2965 0.5999  1 S 1.38
S: 0.6772 0.0423 0.0113  1 S 1.97
S: 0.8744 0.8870 0.5757  1 S 2.03
S: 0.9919 0.4361 0.7636  1 S 2.04, 1 H 2.18
S: 0.3228 0.9577 0.9887  1 S 1.97
H: 0.0183 0.6528 0.0649  1 S 1.41
S: 0.0081 0.5639 0.2364  1 S 2.04, 1 H 2.18
S: 0.7260 0.7522 0.4039  1 H 1.38
S: 0.9626 0.7086 0.9491  1 H 1.41
H: 0.9817 0.3472 0.9351  1 S 1.41
S: 0.2740 0.2478 0.5961  1 H 1.38

---

# 15
Entry from Alexandria via LeMat-Bulk: a relaxed structure of RbHS (PBE).

## Properties
**Total energy**: -3.600 eV per atom

Cell lengths 4.9025, 4.9235, 13.4915 Å; angles 90.00, 90.00, 90.00 degrees
With the nearest neighbours (Å) after each atom.
Atoms (fractional coordinates):
H: 0.9850 0.4105 0.7879  1 S 1.36
H: 0.5150 0.5895 0.2879  1 S 1.36
Rb: 0.8942 0.4586 0.1175  2 H 2.99-3.03
H: 0.4850 0.0895 0.2121  1 S 1.36
S: 0.3814 0.9500 0.1339  1 H 1.36
H: 0.0150 0.9105 0.7121  1 S 1.36
Rb: 0.6058 0.5414 0.6175  2 H 2.99-3.03
Rb: 0.1058 0.9586 0.3825  2 H 2.99-3.03
S: 0.1186 0.0500 0.6339  1 H 1.36
S: 0.8814 0.5500 0.8661  1 H 1.36
Rb: 0.3942 0.0414 0.8825  2 H 2.99-3.03
S: 0.6186 0.4500 0.3661  1 H 1.36

---

# 16
Entry from Alexandria via LeMat-Bulk: a relaxed structure of RbHS6 (PBE).

## Properties
**Total energy**: -3.778 eV per atom

Cell lengths 5.6242, 5.5186, 8.6556 Å; angles 98.50, 89.00, 53.46 degrees
With the nearest neighbours (Å) after each atom.
Atoms (fractional coordinates):
S: 0.0916 0.8504 0.1610  1 H 1.66
S: 0.8228 0.5697 0.9245  2 S 2.07-2.20
S: 0.9084 0.1496 0.8390  1 H 1.66
S: 0.2848 0.8582 0.6846  1 S 2.02
S: 0.1772 0.4303 0.0755  2 S 2.07-2.20
S: 0.7152 0.1418 0.3154  1 S 2.02
H: 0.0000 0.0000 0.0000  2 S 1.66
Rb: 0.0000 0.5000 0.5000  8 S 3.46-3.69

---

# 17
Entry from Alexandria via LeMat-Bulk: a relaxed structure of Rb2H2S3 (PBE).

## Properties
**Total energy**: -3.523 eV per atom

Cell lengths 5.2363, 4.7989, 7.2748 Å; angles 90.00, 83.21, 90.00 degrees
With the nearest neighbours (Å) after each atom.
Atoms (fractional coordinates):
S: 0.8190 0.0000 0.5801  1 H 1.62
Rb: 0.2948 0.5000 0.7477  2 H 3.13, 4 S 3.29-3.48
S: 0.0000 0.0000 0.0000  2 H 1.68
Rb: 0.7052 0.5000 0.2523  2 H 3.13, 4 S 3.29-3.48
H: 0.0927 0.0000 0.2133  2 S 1.62-1.68
S: 0.1810 0.0000 0.4199  1 H 1.62
H: 0.9073 0.0000 0.7867  2 S 1.62-1.68

---

# 18
Entry from Alexandria via LeMat-Bulk: a relaxed structure of RbHS2 (PBE).

## Properties
**Relative energy among the computed polymorphs**: 0 meV/atom

Cell lengths 5.0072, 5.0072, 7.5363 Å; angles 70.60, 70.60, 90.00 degrees
With the nearest neighbours (Å) after each atom.
Atoms (fractional coordinates):
Rb: 0.0000 0.0000 0.0000  8 S 3.26, 4 H 3.54
S: 0.3749 0.6250 0.2500  2 H 2.08
H: 0.2500 0.7500 0.5000  4 S 2.08
S: 0.3750 0.6249 0.7500  2 H 2.08
S: 0.8750 0.6251 0.7500  2 H 2.08
Rb: 0.7500 0.2500 0.5000  8 S 3.26, 4 H 3.54
S: 0.3751 0.1250 0.2500  2 H 2.08
H: 0.5000 0.5000 0.0000  4 S 2.08

---

# 19
Entry from Alexandria via LeMat-Bulk: a relaxed structure of RbHS (PBE).

## Properties
**Total energy**: -3.602 eV per atom

Cell lengths 5.1828, 4.6591, 6.9863 Å; angles 79.03, 90.00, 90.00 degrees
With the nearest neighbours (Å) after each atom.
Atoms (fractional coordinates):
Rb: 0.2500 0.2291 0.2380  3 H 3.12-3.13, 3 S 3.44
S: 0.7500 0.7371 0.2585  1 H 1.35
Rb: 0.7500 0.7709 0.7620  3 H 3.12-3.13, 3 S 3.44
H: 0.2500 0.5136 0.6075  1 S 1.35
H: 0.7500 0.4864 0.3925  1 S 1.35
S: 0.2500 0.2629 0.7415  1 H 1.35

---

# 20
Entry from Alexandria via LeMat-Bulk: a relaxed structure of Rb3H4S4 (PBE).

## Properties
**Total energy**: -3.352 eV per atom

Cell lengths 5.8181, 7.2808, 9.2873 Å; angles 113.08, 108.25, 90.00 degrees
With the nearest neighbours (Å) after each atom.
Atoms (fractional coordinates):
H: 0.4381 0.2903 0.8762  1 S 1.36
Rb: 0.0000 0.5000 0.0000  2 S 3.01, 8 H 3.26
H: 0.4381 0.5859 0.8762  1 S 1.36
H: 0.5619 0.4141 0.1238  1 S 1.36
H: 0.5619 0.7097 0.1238  1 S 1.36
S: 0.8128 0.3128 0.6256  3 Rb 3.01-3.30
Rb: 0.2153 0.2153 0.4307  4 S 3.30-3.67
S: 0.1872 0.6872 0.3744  3 Rb 3.01-3.30
Rb: 0.7847 0.7847 0.5693  4 S 3.30-3.67
S: 0.5000 0.2257 0.0000  2 H 1.36
S: 0.5000 0.7743 0.0000  2 H 1.36

---

# 21
Entry from Alexandria via LeMat-Bulk: a relaxed structure of Rb5H4S (PBE).

## Properties
**Total energy**: -2.445 eV per atom

Cell lengths 6.2738, 7.6094, 7.6094 Å; angles 80.22, 65.65, 65.65 degrees
With the nearest neighbours (Å) after each atom.
Atoms (fractional coordinates):
H: 0.3987 0.4098 0.7950  6 Rb 2.96-3.18
Rb: 0.5017 0.0000 0.0000  2 S 3.14, 4 H 3.18
H: 0.8084 0.7950 0.5902  6 Rb 2.96-3.18
Rb: 0.1129 0.5760 0.1995  5 H 2.96-3.14, 1 S 3.25
Rb: 0.8884 0.4240 0.8005  5 H 2.96-3.14, 1 S 3.25
H: 0.1937 0.2050 0.4098  6 Rb 2.96-3.18
Rb: 0.3124 0.8005 0.5760  5 H 2.96-3.14, 1 S 3.25
S: 0.0018 0.0000 0.0000  6 Rb 3.14-3.25
Rb: 0.6888 0.1995 0.4240  5 H 2.96-3.14, 1 S 3.25
H: 0.6035 0.5902 0.2050  6 Rb 2.96-3.18

---

# 22
Entry from Alexandria via LeMat-Bulk: a relaxed structure of Rb4H2S (PBE).

## Properties
**Total energy**: -2.597 eV per atom

Cell lengths 8.4752, 8.4752, 8.4752 Å; angles 108.51, 111.42, 108.51 degrees
With the nearest neighbours (Å) after each atom.
Atoms (fractional coordinates):
Rb: 0.0709 0.3177 0.3894  3 H 2.98-3.11, 1 S 3.22
H: 0.8750 0.2514 0.6264  6 Rb 2.98-3.11
Rb: 0.5032 0.1823 0.3217  3 H 2.98-3.11, 1 S 3.22
Rb: 0.1394 0.8177 0.3209  3 H 2.98-3.11, 1 S 3.22
Rb: 0.6106 0.6815 0.9283  3 H 2.98-3.11, 1 S 3.22
Rb: 0.6783 0.1815 0.8606  3 H 2.98-3.11, 1 S 3.22
H: 0.3736 0.2486 0.6250  6 Rb 2.98-3.11
Rb: 0.0717 0.6823 0.7532  3 H 2.98-3.11, 1 S 3.22
H: 0.3750 0.7486 0.6236  6 Rb 2.98-3.11
H: 0.3764 0.7514 0.1250  6 Rb 2.98-3.11
S: 0.0000 0.0000 0.0000  8 Rb 3.22-3.56
Rb: 0.2468 0.3185 0.9291  3 H 2.98-3.11, 1 S 3.22
Rb: 0.6791 0.8185 0.4968  3 H 2.98-3.11, 1 S 3.22
S: 0.7500 0.5000 0.2500  8 Rb 3.22-3.56

---

# 23
Entry from Alexandria via LeMat-Bulk: a relaxed structure of RbHS (PBE).

## Properties
**Total energy**: -3.362 eV per atom

Cell lengths 4.3889, 4.3889, 3.3155 Å; angles 89.84, 89.84, 91.02 degrees
With the nearest neighbours (Å) after each atom.
Atoms (fractional coordinates):
H: 0.1503 0.8497 0.0000  2 S 1.69
Rb: 0.6166 0.3834 0.0000  3 H 2.92-3.08
S: 0.1011 0.8989 0.5000  2 H 1.69